[1]
A plane-wave DFT calculation with PBE-GGA was carried out for a relaxed structure of PmHIBr.

Total moment: 0.00 μB per formula unit
E: -16.9 eV for the cell shown

The structure in POSCAR format:
```
PmHIBr
1.0
3.5023 -2.0221 0.0000
3.5023 2.0221 0.0000
-2.3464 0.0000 7.8950
Pm H I Br
1 1 1 1
direct
0.0000 0.0000 0.0000
0.3349 0.3349 0.0048
0.7591 0.7591 0.2757
0.5857 0.5857 0.7583
```

***

[2]
A plane-wave DFT calculation with PBE-GGA was carried out for a relaxed structure of TbDy2Zn.

Total moment: 0.30 μB per formula unit
E: -15.2 eV for the cell shown
Formation energy: -0.03 eV/atom

The structure in POSCAR format:
```
TbDy2Zn
1.0
4.7416 0.0000 0.0000
0.0000 4.7416 0.0000
0.0000 0.0000 4.7401
Tb Dy Zn
1 2 1
direct
0.0000 0.0000 0.0000
0.0000 0.5000 0.5000
0.5000 0.0000 0.5000
0.5000 0.5000 0.0000
```

***

[3]
A plane-wave DFT calculation with PBE-GGA was carried out for a relaxed structure of Sr2PbAu2.

Total moment: 0.00 μB per formula unit
E: -16.3 eV for the cell shown
Formation energy: -0.54 eV/atom

The structure in POSCAR format:
```
Sr2PbAu2
1.0
-1.9968 1.9968 9.4546
1.9968 -1.9968 9.4546
1.9968 1.9968 -9.4546
Sr Pb Au
2 1 2
direct
0.1141 0.1141 0.0000
0.8859 0.8859 0.0000
0.5000 0.5000 0.0000
0.2500 0.7500 0.5000
0.7500 0.2500 0.5000
```

***

Repeat the second record exactly.
A plane-wave DFT calculation with PBE-GGA was carried out for a relaxed structure of TbDy2Zn.

Total moment: 0.30 μB per formula unit
E: -15.2 eV for the cell shown
Formation energy: -0.03 eV/atom

The structure in POSCAR format:
```
TbDy2Zn
1.0
4.7416 0.0000 0.0000
0.0000 4.7416 0.0000
0.0000 0.0000 4.7401
Tb Dy Zn
1 2 1
direct
0.0000 0.0000 0.0000
0.0000 0.5000 0.5000
0.5000 0.0000 0.5000
0.5000 0.5000 0.0000
```